Entry 1:
Compound: PrDy2HoSb4
Source: Alexandria via LeMat-Bulk
Functional: PBE
Structure: relaxed

abc: 6.259 6.259 7.665
angles: 114.11 114.11 89.99
Positions (direct):
Pr: 0.937 0.937 0.000
Dy: 0.187 0.687 0.500
Dy: 0.687 0.187 0.500
Ho: 0.437 0.437 0.000
Sb: 0.937 0.437 0.000
Sb: 0.437 0.937 0.000
Sb: 0.192 0.192 0.509
Sb: 0.683 0.683 0.491

## Properties
M_tot	0.000	μB per atom
space-group type	I4/mmm, No. 139
DFT total energy	-44.11	eV/cell
energy relative to the elements, uncorrected	-1.132	eV per atom


Entry 2:
Compound: Pr2DyHoSb4
Source: Alexandria via LeMat-Bulk
Functional: PBE
Structure: relaxed

abc: 4.472 7.742 7.730
angles: 109.50 90.00 90.00
Positions (direct):
Pr: 0.500 0.000 0.500
Pr: 0.000 0.500 0.500
Dy: 0.000 0.000 0.000
Ho: 0.500 0.500 0.000
Sb: 0.500 0.247 0.239
Sb: 0.500 0.753 0.761
Sb: 0.000 0.254 0.762
Sb: 0.000 0.746 0.238

## Properties
M_tot	0.000	μB per atom
space-group type	P2/m, No. 10
DFT total energy	-44.45	eV/cell
energy relative to the elements, uncorrected	-1.153	eV per atom


Entry 3:
Compound: Pr2DyHo3Sb6
Source: Alexandria via LeMat-Bulk
Functional: PBE
Structure: relaxed

abc: 4.438 8.866 9.913
angles: 102.85 102.93 90.00
Positions (direct):
Pr: 0.834 0.668 0.669
Pr: 0.166 0.332 0.331
Dy: 0.500 0.000 0.000
Ho: 0.500 0.500 0.000
Ho: 0.832 0.166 0.664
Ho: 0.168 0.834 0.336
Sb: 0.334 0.926 0.668
Sb: 0.664 0.590 0.328
Sb: 0.666 0.074 0.332
Sb: 0.996 0.249 0.993
Sb: 0.004 0.751 0.007
Sb: 0.336 0.410 0.672

## Properties
M_tot	0.000	μB per atom
space-group type	C2/m, No. 12
DFT total energy	-66.26	eV/cell
energy relative to the elements, uncorrected	-1.136	eV per atom


Entry 4:
Compound: Pr2Dy3HoSb6
Source: Alexandria via LeMat-Bulk
Functional: PBE
Structure: relaxed

abc: 4.443 8.879 9.926
angles: 102.88 102.93 90.00
Positions (direct):
Pr: 0.834 0.668 0.669
Pr: 0.166 0.332 0.331
Dy: 0.500 0.500 0.000
Dy: 0.832 0.166 0.664
Dy: 0.168 0.834 0.336
Ho: 0.500 0.000 0.000
Sb: 0.334 0.925 0.669
Sb: 0.664 0.589 0.329
Sb: 0.666 0.075 0.331
Sb: 0.997 0.247 0.993
Sb: 0.003 0.753 0.007
Sb: 0.336 0.411 0.671

## Properties
M_tot	0.000	μB per atom
space-group type	C2/m, No. 12
DFT total energy	-66.38	eV/cell
energy relative to the elements, uncorrected	-1.142	eV per atom


Entry 5:
Compound: Pr2Dy4HoSc
Source: Alexandria via LeMat-Bulk
Functional: PBE
Structure: relaxed

abc: 5.030 5.031 11.196
angles: 63.31 90.00 90.00
Positions (direct):
Pr: 0.000 0.000 0.000
Pr: 0.500 0.000 0.500
Dy: 0.000 0.746 0.754
Dy: 0.000 0.254 0.246
Dy: 0.500 0.754 0.245
Dy: 0.500 0.246 0.755
Ho: 0.000 0.500 0.500
Sc: 0.500 0.500 0.000

## Properties
M_tot	0.000	μB per atom
space-group type	P4/mmm, No. 123
DFT total energy	-38.58	eV/cell
energy of formation from the pure elements	0.04	eV/atom


Entry 6:
Compound: Pr2DyHoSc
Source: Alexandria via LeMat-Bulk
Functional: PBE
Structure: relaxed

abc: 7.229 8.253 7.036
angles: 125.90 90.00 90.00
Positions (direct):
Pr: 0.500 0.300 0.000
Pr: 0.000 0.700 0.000
Pr: 0.500 0.700 0.000
Pr: 0.000 0.300 0.000
Dy: 0.250 0.731 0.461
Dy: 0.750 0.269 0.539
Ho: 0.750 0.739 0.477
Ho: 0.250 0.261 0.523
Sc: 0.250 0.994 0.988
Sc: 0.750 0.006 0.012

## Properties
M_tot	0.000	μB per atom
space-group type	Cmcm, No. 63
DFT total energy	-46.36	eV/cell
energy of formation from the pure elements	0.38	eV/atom


Entry 7:
Compound: PrDy2Ho6Sc3
Source: Alexandria via LeMat-Bulk
Functional: PBE
Structure: relaxed

abc: 6.043 6.043 11.475
angles: 95.03 95.03 119.97
Positions (direct):
Pr: 0.000 0.000 0.000
Dy: 0.333 0.667 0.000
Dy: 0.667 0.333 0.000
Ho: 0.913 0.579 0.740
Ho: 0.753 0.753 0.261
Ho: 0.087 0.421 0.260
Ho: 0.579 0.913 0.740
Ho: 0.247 0.247 0.739
Ho: 0.421 0.087 0.260
Sc: 0.167 0.833 0.500
Sc: 0.833 0.167 0.500
Sc: 0.500 0.500 0.500

## Properties
M_tot	0.000	μB per atom
space-group type	C2/m, No. 12
DFT total energy	-59.90	eV/cell
energy of formation from the pure elements	0.05	eV/atom


Entry 8:
Compound: PrDy6Ho2Sc3
Source: Alexandria via LeMat-Bulk
Functional: PBE
Structure: relaxed

abc: 6.054 6.054 11.489
angles: 95.03 95.03 119.98
Positions (direct):
Pr: 0.000 0.000 0.000
Dy: 0.913 0.579 0.740
Dy: 0.753 0.753 0.260
Dy: 0.087 0.421 0.260
Dy: 0.579 0.913 0.740
Dy: 0.247 0.247 0.740
Dy: 0.421 0.087 0.260
Ho: 0.333 0.667 0.000
Ho: 0.667 0.333 0.000
Sc: 0.167 0.833 0.500
Sc: 0.833 0.167 0.500
Sc: 0.500 0.500 0.500

## Properties
M_tot	0.000	μB per atom
space-group type	C2/m, No. 12
DFT total energy	-60.00	eV/cell
energy of formation from the pure elements	0.05	eV/atom


Question: The lowest DFT total energy belongs to which entry?
Answer: Pr2Dy3HoSb6


Question: Look up the M_tot of the eighth one.
Answer: 0.000 μB per atom


Question: Number 7 is which compound?
Answer: PrDy2Ho6Sc3